# Tm2LuNi GGA-PBE relaxed
# **Energy of formation**: -8 kJ per mole of atoms
# **E**: -4.896 eV/atom
# **Energy above the most stable polymorph in this dataset**: 103 meV/atom
# **Spin magnetization**: 0.000 μB/atom
data_Tm2LuNi
_symmetry_space_group_name_H-M 'R -3 m'
_symmetry_Int_Tables_number 166
_symmetry_space_group_name_Hall '-R 3 2"'
_cell_length_a 3.5853
_cell_length_b 3.5853
_cell_length_c 27.8023
_cell_angle_alpha 90.00
_cell_angle_beta 90.00
_cell_angle_gamma 120.00
loop_
_atom_site_label
_atom_site_fract_x
_atom_site_fract_y
_atom_site_fract_z
Tm1 0.0000 0.0000 0.2284
Lu1 0.0000 0.0000 0.0000
Ni1 0.0000 0.0000 0.5000